Y2PtCl: relaxed, PBE-GGA.

**N(E_F)**: 2.57 states/eV per cell
**ΔE to the lowest computed polymorph**: 117 meV per atom
**Energy**: -6.43 eV per atom
**Symmetry**: No. 38

Cell lengths 3.7839, 7.7069, 7.7069 Å; angles 27.60, 90.00, 90.00 degrees
Closest atoms and distances in Å follow each position.
Sites, in units of the cell vectors:
Y  0.0000  0.0000  0.0000  2 Pt 2.82, 4 Cl 3.00
Y  0.5000  0.2163  0.2163  1 Cl 2.81, 4 Pt 2.86
Pt  0.0000  0.6432  0.6432  6 Y 2.82-2.86
Cl  0.5000  0.4043  0.4043  5 Y 2.81-3.00